No. 1
The following is a DFT calculation (SCAN) of CaAlP2Ru at its PBEsol-relaxed geometry.

Calculated values
Density of states at the Fermi level in states/eV per atom: 0.366
Formation energy in eV/f.u.: 8.69
Space group: P4/mmm

Cell: 4.916 4.916 5.133 Å, 90.00 90.00 90.00°
Each line ends with the local moment (μB).
Atoms (fractional coordinates):
1 Ru 0.500 0.500 0.500  2.67
2 Ca 0.000 0.000 0.000  0.02
3 Al 0.000 0.000 0.500  -0.01
4 P 0.000 0.500 0.000  0.04
5 P 0.500 0.000 0.000  0.04



No. 2
The following is a DFT calculation (SCAN) of CaZrAlP2 at its PBEsol-relaxed geometry.

Calculated values
Density of states at the Fermi level in states/eV per atom: 1.040
Formation energy in eV/f.u.: 2.48
Space group: P4/mmm

Cell: 4.953 4.953 5.651 Å, 90.00 90.00 90.00°
Atoms (fractional coordinates):
1 P 0.000 0.500 0.000
2 P 0.500 0.000 0.000
3 Ca 0.000 0.000 0.500
4 Al 0.500 0.500 0.500
5 Zr 0.000 0.000 0.000



No. 3
The following is a DFT calculation (SCAN) of CaAl2Pb at its PBEsol-relaxed geometry.

Calculated values
Density of states at the Fermi level in states/eV per atom: 0.586
Formation energy in eV/f.u.: -0.60
Space group: P4mm

Cell: 3.663 3.663 7.018 Å, 90.00 90.00 90.00°
Atoms (fractional coordinates):
1 Pb 0.500 0.500 0.789
2 Ca 0.000 0.000 0.481
3 Al 0.000 0.000 0.030
4 Al 0.500 0.500 0.200



No. 4
The following is a DFT calculation (SCAN) of CaAl3Pb at its PBEsol-relaxed geometry.

Calculated values
Density of states at the Fermi level in states/eV per atom: 0.638
Formation energy in eV/f.u.: 3.30
Space group: Pm-3m

Cell: 5.348 5.348 5.348 Å, 90.00 90.00 90.00°
Atoms (fractional coordinates):
1 Pb 0.000 0.000 0.000
2 Ca 0.500 0.500 0.500
3 Al 0.000 0.500 0.000
4 Al 0.000 0.000 0.500
5 Al 0.500 0.000 0.000